Version 1
## CaH6Pd3 (PBE)

Data for an optimized crystal structure of CaH6Pd3.

a = 3.0594 Å, b = 6.9727 Å, c = 9.1878 Å
α = 102.28°, β = 90.00°, γ = 90.00°
With the nearest neighbours (Å) after each atom.
Fractional coordinates of all 20 atoms:
1 Pd 0.7500 0.6561 0.4473  6 H 1.85-1.93
2 H 0.7500 0.9234 0.0890  1 Pd 1.74
3 H 0.7500 0.5148 0.5958  3 Pd 1.85-1.93
4 H 0.7500 0.6833 0.2480  3 Pd 1.88-1.94
5 Pd 0.7500 0.4653 0.8451  6 H 1.89-1.98
6 H 0.2500 0.2589 0.1717  3 Pd 1.83-1.96
7 Pd 0.2500 0.8330 0.9287  4 H 1.74-1.83
8 H 0.7500 0.7411 0.8283  3 Pd 1.83-1.96
9 H 0.7500 0.4196 0.0501  4 Pd 1.81-1.98
10 Ca 0.2500 0.9776 0.2992  8 H 2.43-2.53
11 H 0.2500 0.8137 0.5110  2 Pd 1.90
12 H 0.2500 0.0766 0.9110  1 Pd 1.74
13 H 0.2500 0.5804 0.9499  4 Pd 1.81-1.98
14 H 0.2500 0.4852 0.4042  3 Pd 1.85-1.93
15 H 0.2500 0.3167 0.7520  3 Pd 1.88-1.94
16 Pd 0.2500 0.3439 0.5527  6 H 1.85-1.93
17 Ca 0.7500 0.0224 0.7008  8 H 2.43-2.53
18 Pd 0.2500 0.5347 0.1549  6 H 1.89-1.98
19 H 0.7500 0.1863 0.4890  2 Pd 1.90
20 Pd 0.7500 0.1670 0.0713  4 H 1.74-1.83

## Properties
mass density	6.34	g/cm³

Version 2
## CaH6Pd3 (PBE)

Data for an optimized crystal structure of CaH6Pd3.

a = 4.9762 Å, b = 5.0087 Å, c = 5.2501 Å
α = 89.90°, β = 118.91°, γ = 120.40°
With the nearest neighbours (Å) after each atom.
Fractional coordinates of all 10 atoms:
1 H 0.8063 0.3774 0.7411  3 Pd 1.84-1.96
2 Pd 0.3224 0.6603 0.9814  6 H 1.84-1.88
3 H 0.4356 0.3968 0.2021  3 Pd 1.83-1.91
4 H 0.1661 0.7659 0.2038  3 Pd 1.83-1.90
5 Ca 0.7918 0.8955 0.6899  7 H 2.37-2.64
6 H 0.3693 0.4310 0.7507  3 Pd 1.84-2.02
7 Pd 0.2771 0.1368 0.4130  6 H 1.82-2.02
8 H 0.8086 0.0479 0.2096  3 Pd 1.82-1.90
9 H 0.3160 0.9351 0.7463  3 Pd 1.85-2.00
10 Pd 0.7068 0.3534 0.0622  6 H 1.90-1.96

## Properties
mass density	6.49	g/cm³

The structure with the most favorable energy is version 2; the runner-up is 110 meV per atom above it.

Version 1
## CaHPd2Pt (PBE)

Data for an optimized crystal structure of CaHPd2Pt.

a = 4.2386 Å, b = 4.2386 Å, c = 4.0169 Å
α = 90.00°, β = 90.00°, γ = 90.00°
With the nearest neighbours (Å) after each atom.
Fractional coordinates of all 5 atoms:
1 Pd 0.0000 0.5000 0.0000  2 H 2.12
2 Ca 0.5000 0.5000 0.5000  8 Pd 2.92, 4 Pt 3.00
3 H 0.0000 0.0000 0.0000  2 Pt 2.01, 4 Pd 2.12
4 Pd 0.5000 0.0000 0.0000  2 H 2.12
5 Pt 0.0000 0.0000 0.5000  2 H 2.01

## Properties
mass density	10.33	g/cm³

Version 2
## CaHPd2Pt (PBE)

Data for an optimized crystal structure of CaHPd2Pt.

a = 4.0308 Å, b = 4.0308 Å, c = 4.4423 Å
α = 90.00°, β = 90.00°, γ = 90.00°
With the nearest neighbours (Å) after each atom.
Fractional coordinates of all 5 atoms:
1 H 0.0000 0.0000 0.0000  4 Pd 2.02, 2 Ca 2.22
2 Ca 0.0000 0.0000 0.5000  2 H 2.22
3 Pd 0.5000 0.0000 0.0000  2 H 2.02
4 Pd 0.0000 0.5000 0.0000  2 H 2.02
5 Pt 0.5000 0.5000 0.5000  4 Ca 2.85, 8 Pd 3.00

## Properties
mass density	10.33	g/cm³

The structure with the most favorable energy is version 1; the runner-up is 51 meV per atom above it.

Version 1
## Ca2HPdRh (PBE)

Data for an optimized crystal structure of Ca2HPdRh.

a = 4.9116 Å, b = 4.9116 Å, c = 3.6043 Å
α = 90.00°, β = 90.00°, γ = 90.00°
With the nearest neighbours (Å) after each atom.
Fractional coordinates of all 5 atoms:
1 Pd 0.5000 0.5000 0.5000  8 Ca 3.05
2 Ca 0.5000 0.0000 0.0000  2 H 2.46
3 Ca 0.0000 0.5000 0.0000  2 H 2.46
4 H 0.0000 0.0000 0.0000  2 Rh 1.80
5 Rh 0.0000 0.0000 0.5000  2 H 1.80

## Properties
mass density	5.55	g/cm³

Version 2
## Ca2HPdRh (PBE)

Data for an optimized crystal structure of Ca2HPdRh.

a = 4.9418 Å, b = 4.9418 Å, c = 3.5710 Å
α = 90.00°, β = 90.00°, γ = 90.00°
With the nearest neighbours (Å) after each atom.
Fractional coordinates of all 5 atoms:
1 Pd 0.0000 0.0000 0.5000  2 H 1.79
2 H 0.0000 0.0000 0.0000  2 Pd 1.79
3 Ca 0.0000 0.5000 0.0000  2 H 2.47
4 Ca 0.5000 0.0000 0.0000  2 H 2.47
5 Rh 0.5000 0.5000 0.5000  8 Ca 3.05

## Properties
mass density	5.53	g/cm³

The structure with the most favorable energy is version 1; the runner-up is 89 meV per atom above it.

Version 1
## CaSbHPd2 (PBE)

Data for an optimized crystal structure of CaSbHPd2.

a = 4.0746 Å, b = 6.1174 Å, c = 7.5607 Å
α = 90.00°, β = 90.00°, γ = 109.45°
With the nearest neighbours (Å) after each atom.
Fractional coordinates of all 10 atoms:
1 Pd 0.1498 0.2995 0.5534  1 H 1.77
2 Pd 0.1498 0.2995 0.9466  1 H 1.77
3 Ca 0.5446 0.0891 0.2500  4 H 2.83
4 H 0.0000 0.0000 0.5000  2 Pd 1.77
5 Sb 0.2670 0.5339 0.2500  6 Pd 2.66-2.70
6 H 0.0000 0.0000 0.0000  2 Pd 1.77
7 Sb 0.7330 0.4661 0.7500  6 Pd 2.66-2.70
8 Pd 0.8502 0.7005 0.0534  1 H 1.77
9 Pd 0.8502 0.7005 0.4466  1 H 1.77
10 Ca 0.4554 0.9109 0.7500  4 H 2.83

## Properties
mass density	7.02	g/cm³

Version 2
## CaSbHPd2 (PBE)

Data for an optimized crystal structure of CaSbHPd2.

a = 4.3145 Å, b = 4.3145 Å, c = 4.3837 Å
α = 90.00°, β = 90.00°, γ = 90.00°
With the nearest neighbours (Å) after each atom.
Fractional coordinates of all 5 atoms:
1 Pd 0.0000 0.5000 0.0000  2 H 2.16
2 Pd 0.5000 0.0000 0.0000  2 H 2.16
3 Ca 0.0000 0.0000 0.5000  2 H 2.19
4 Sb 0.5000 0.5000 0.5000  4 Ca 3.05, 8 Pd 3.08
5 H 0.0000 0.0000 0.0000  4 Pd 2.16, 2 Ca 2.19

## Properties
mass density	7.65	g/cm³

The structure with the most favorable energy is version 1; the runner-up is 238 meV per atom above it.

Version 1
## CaPmH2 (PBE)

Data for an optimized crystal structure of CaPmH2.

a = 3.7387 Å, b = 3.7387 Å, c = 6.6933 Å
α = 73.78°, β = 73.78°, γ = 60.00°
With the nearest neighbours (Å) after each atom.
Fractional coordinates of all 4 atoms:
1 H 0.0616 0.0616 0.8152  3 Pm 2.49, 3 Ca 2.69
2 Pm 0.6627 0.6627 0.0120  6 H 2.25-2.49
3 H 0.2966 0.2966 0.1102  3 Pm 2.25
4 Ca 0.4791 0.4791 0.5627  3 H 2.69

## Properties
mass density	4.05	g/cm³

Version 2
## CaPmH2 (PBE)

Data for an optimized crystal structure of CaPmH2.

a = 3.6355 Å, b = 3.6355 Å, c = 6.2369 Å
α = 73.06°, β = 73.06°, γ = 60.00°
With the nearest neighbours (Å) after each atom.
Fractional coordinates of all 4 atoms:
1 H 0.7394 0.7394 0.7817  3 Pm 2.46, 3 Ca 2.67
2 Ca 0.5000 0.5000 0.5000  6 H 2.67
3 H 0.2606 0.2606 0.2183  3 Pm 2.46, 3 Ca 2.67
4 Pm 0.0000 0.0000 0.0000  6 H 2.46

## Properties
mass density	4.62	g/cm³

The structure with the most favorable energy is version 2; the runner-up is 28 meV per atom above it.

Version 1
## Ca2H2Pt (PBE)

Data for an optimized crystal structure of Ca2H2Pt.

a = 5.0461 Å, b = 5.0461 Å, c = 5.0642 Å
α = 119.88°, β = 119.88°, γ = 90.00°
With the nearest neighbours (Å) after each atom.
Fractional coordinates of all 5 atoms:
1 Ca 0.2500 0.7500 0.5000  4 H 2.53
2 Ca 0.7500 0.2500 0.5000  4 H 2.53
3 H 0.2326 0.2326 0.4652  1 Pt 1.67
4 H 0.7674 0.7674 0.5348  1 Pt 1.67
5 Pt 0.0000 0.0000 0.0000  2 H 1.67

## Properties
mass density	5.03	g/cm³

Version 2
## Ca2H2Pt (PBE)

Data for an optimized crystal structure of Ca2H2Pt.

a = 3.6268 Å, b = 3.6268 Å, c = 6.6754 Å
α = 74.24°, β = 74.24°, γ = 90.00°
With the nearest neighbours (Å) after each atom.
Fractional coordinates of all 5 atoms:
1 Pt 0.0000 0.0000 0.0000  8 Ca 3.10
2 Ca 0.3584 0.3584 0.2832  4 H 2.25
3 H 0.2500 0.7500 0.5000  4 Ca 2.25
4 H 0.7500 0.2500 0.5000  4 Ca 2.25
5 Ca 0.6416 0.6416 0.7168  4 H 2.25

## Properties
mass density	5.68	g/cm³

Version 3
## Ca2H2Pt (PBE)

Data for an optimized crystal structure of Ca2H2Pt.

a = 3.2765 Å, b = 6.6515 Å, c = 8.7682 Å
α = 124.68°, β = 100.77°, γ = 90.00°
With the nearest neighbours (Å) after each atom.
Fractional coordinates of all 10 atoms:
1 Ca 0.3650 0.7967 0.7291  5 H 2.39-2.48
2 H 0.1942 0.0413 0.3882  5 Ca 2.39-2.48
3 H 0.8058 0.9587 0.6118  5 Ca 2.39-2.48
4 H 0.8060 0.4587 0.6118  5 Ca 2.39-2.48
5 H 0.1940 0.5413 0.3882  5 Ca 2.39-2.48
6 Ca 0.6350 0.2033 0.2709  5 H 2.39-2.48
7 Pt 0.0000 0.7500 0.0000  2 H 2.73, 8 Ca 3.01
8 Ca 0.3641 0.2967 0.7291  5 H 2.39-2.48
9 Pt 0.0000 0.2500 0.0000  2 H 2.73, 8 Ca 3.01
10 Ca 0.6359 0.7033 0.2709  5 H 2.39-2.48

## Properties
mass density	6.02	g/cm³

The structure with the most favorable energy is version 1; the runner-up is 16 meV per atom above it.

Version 1
## CaHPt2 (PBE)

Data for an optimized crystal structure of CaHPt2.

a = 5.7100 Å, b = 5.7100 Å, c = 5.7089 Å
α = 59.99°, β = 59.99°, γ = 90.00°
With the nearest neighbours (Å) after each atom.
Fractional coordinates of all 8 atoms:
1 H 0.5000 0.5000 0.0000  4 Pt 1.75
2 Ca 0.0000 0.0000 0.0000  12 Pt 3.35, 4 H 3.50, 4 Ca 3.50
3 Pt 0.3745 0.6250 0.2500  2 H 1.75
4 Pt 0.3750 0.6245 0.7500  2 H 1.75
5 Ca 0.7500 0.2500 0.5000  12 Pt 3.35, 4 H 3.50, 4 Ca 3.50
6 Pt 0.8750 0.6255 0.7500  2 H 1.75
7 H 0.2500 0.7500 0.5000  4 Pt 1.75
8 Pt 0.3755 0.1250 0.2500  2 H 1.75

## Properties
mass density	10.88	g/cm³

Version 2
## CaHPt2 (PBE)

Data for an optimized crystal structure of CaHPt2.

a = 2.9709 Å, b = 2.9709 Å, c = 8.1104 Å
α = 79.45°, β = 79.45°, γ = 60.00°
With the nearest neighbours (Å) after each atom.
Fractional coordinates of all 4 atoms:
1 Pt 0.1145 0.1145 0.6564  3 H 2.12
2 Pt 0.8855 0.8855 0.3436  3 H 2.12
3 Ca 0.0000 0.0000 0.0000  2 Pt 2.72, 6 Ca 2.97
4 H 0.5000 0.5000 0.5000  6 Pt 2.12

## Properties
mass density	11.82	g/cm³

The structure with the most favorable energy is version 1; the runner-up is 840 meV per atom above it.

Version 1
## Ca2ZnHPt (PBE)

Data for an optimized crystal structure of Ca2ZnHPt.

a = 4.7483 Å, b = 4.7483 Å, c = 3.9517 Å
α = 90.00°, β = 90.00°, γ = 90.00°
With the nearest neighbours (Å) after each atom.
Fractional coordinates of all 5 atoms:
1 H 0.0000 0.0000 0.0000  2 Zn 1.98
2 Ca 0.5000 0.0000 0.0000  2 H 2.37
3 Ca 0.0000 0.5000 0.0000  2 H 2.37
4 Pt 0.5000 0.5000 0.5000  8 Ca 3.09, 4 Zn 3.36
5 Zn 0.0000 0.0000 0.5000  2 H 1.98

## Properties
mass density	6.37	g/cm³

Version 2
## Ca2ZnHPt (PBE)

Data for an optimized crystal structure of Ca2ZnHPt.

a = 4.9828 Å, b = 4.9828 Å, c = 3.7741 Å
α = 90.00°, β = 90.00°, γ = 90.00°
With the nearest neighbours (Å) after each atom.
Fractional coordinates of all 5 atoms:
1 H 0.0000 0.0000 0.0000  2 Pt 1.89
2 Ca 0.5000 0.0000 0.0000  2 H 2.49
3 Zn 0.5000 0.5000 0.5000  8 Ca 3.13
4 Ca 0.0000 0.5000 0.0000  2 H 2.49
5 Pt 0.0000 0.0000 0.5000  2 H 1.89

## Properties
mass density	6.05	g/cm³

The structure with the most favorable energy is version 2; the runner-up is 35 meV per atom above it.

Version 1
## RbCaH2 (PBE)

Data for an optimized crystal structure of RbCaH2.

a = 4.5662 Å, b = 4.5662 Å, c = 4.5694 Å
α = 90.00°, β = 90.00°, γ = 90.00°
With the nearest neighbours (Å) after each atom.
Fractional coordinates of all 4 atoms:
1 H 0.5000 0.0000 0.5000  2 Ca 2.28
2 H 0.0000 0.5000 0.5000  2 Ca 2.28
3 Ca 0.0000 0.0000 0.5000  4 H 2.28
4 Rb 0.5000 0.5000 0.0000  8 H 3.23

## Properties
mass density	2.22	g/cm³

Version 2
## RbCaH2 (PBE)

Data for an optimized crystal structure of RbCaH2.

a = 3.4692 Å, b = 6.5361 Å, c = 4.4449 Å
α = 90.00°, β = 112.74°, γ = 90.00°
With the nearest neighbours (Å) after each atom.
Fractional coordinates of all 4 atoms:
1 Rb 0.5340 0.0000 0.5639  6 H 2.91-3.00
2 H 0.2445 0.2609 0.9900  2 Ca 2.34
3 H 0.2445 0.7391 0.9900  2 Ca 2.34
4 Ca 0.7607 0.5000 0.0227  4 H 2.34

## Properties
mass density	2.28	g/cm³

The structure with the most favorable energy is version 1; the runner-up is 40 meV per atom above it.

Version 1
## RbCaH2 (PBE)

Data for an optimized crystal structure of RbCaH2.

a = 3.4091 Å, b = 4.1272 Å, c = 6.4801 Å
α = 89.80°, β = 89.43°, γ = 85.18°
With the nearest neighbours (Å) after each atom.
Fractional coordinates of all 4 atoms:
1 Ca 0.0000 0.0000 0.5000  4 H 2.34
2 H 0.5042 0.0019 0.2528  2 Ca 2.34
3 Rb 0.0000 0.5000 0.0000  8 H 3.04-3.26
4 H 0.4958 0.9981 0.7472  2 Ca 2.34

## Properties
mass density	2.33	g/cm³

Version 2
## RbCaH2 (PBE)

Data for an optimized crystal structure of RbCaH2.

a = 3.8792 Å, b = 3.8792 Å, c = 8.0547 Å
α = 76.07°, β = 76.07°, γ = 60.00°
With the nearest neighbours (Å) after each atom.
Fractional coordinates of all 4 atoms:
1 Rb 0.0000 0.0000 0.0000  2 H 3.00
2 Ca 0.5000 0.5000 0.5000  6 H 2.40
3 H 0.8705 0.8705 0.3884  3 Ca 2.40
4 H 0.1295 0.1295 0.6116  3 Ca 2.40

## Properties
mass density	2.10	g/cm³

Version 3
## RbCaH2 (PBE)

Data for an optimized crystal structure of RbCaH2.

a = 4.8797 Å, b = 4.8797 Å, c = 4.8797 Å
α = 60.00°, β = 60.00°, γ = 60.00°
With the nearest neighbours (Å) after each atom.
Fractional coordinates of all 4 atoms:
1 Rb 0.5000 0.5000 0.5000  8 H 2.99
2 Ca 0.0000 0.0000 0.0000  8 H 2.99
3 H 0.2500 0.2500 0.2500  4 Rb 2.99, 4 Ca 2.99
4 H 0.7500 0.7500 0.7500  4 Rb 2.99, 4 Ca 2.99

## Properties
mass density	2.58	g/cm³

The structure with the most favorable energy is version 2; the runner-up is 23 meV per atom above it.

Version 1
## RbCaH3 (PBE)

Data for an optimized crystal structure of RbCaH3.

a = 4.5020 Å, b = 4.5020 Å, c = 4.5020 Å
α = 90.00°, β = 90.00°, γ = 90.00°
With the nearest neighbours (Å) after each atom.
Fractional coordinates of all 5 atoms:
1 H 0.0000 0.0000 0.5000  2 Ca 2.25
2 Rb 0.5000 0.5000 0.5000  12 H 3.18
3 Ca 0.0000 0.0000 0.0000  6 H 2.25
4 H 0.0000 0.5000 0.0000  2 Ca 2.25
5 H 0.5000 0.0000 0.0000  2 Ca 2.25

## Properties
mass density	2.34	g/cm³

Version 2
## RbCaH3 (PBE)

Data for an optimized crystal structure of RbCaH3.

a = 4.3622 Å, b = 4.3622 Å, c = 9.7476 Å
α = 90.00°, β = 90.00°, γ = 120.00°
With the nearest neighbours (Å) after each atom.
Fractional coordinates of all 10 atoms:
1 H 0.6667 0.3333 0.9471  3 Ca 2.57, 3 H 2.72
2 H 0.6667 0.3333 0.5529  3 Ca 2.57, 3 H 2.72
3 H 0.0000 0.0000 0.2500  2 Ca 2.44, 3 Rb 2.52
4 Ca 0.0000 0.0000 0.5000  8 H 2.44-2.57
5 Rb 0.6667 0.3333 0.2500  3 H 2.52
6 H 0.3333 0.6667 0.4471  3 Ca 2.57, 3 H 2.72
7 Ca 0.0000 0.0000 0.0000  8 H 2.44-2.57
8 Rb 0.3333 0.6667 0.7500  3 H 2.52
9 H 0.0000 0.0000 0.7500  2 Ca 2.44, 3 Rb 2.52
10 H 0.3333 0.6667 0.0529  3 Ca 2.57, 3 H 2.72

## Properties
mass density	2.66	g/cm³

Version 3
## RbCaH3 (PBE)

Data for an optimized crystal structure of RbCaH3.

a = 4.7964 Å, b = 4.7964 Å, c = 4.7964 Å
α = 90.00°, β = 90.00°, γ = 90.00°
With the nearest neighbours (Å) after each atom.
Fractional coordinates of all 5 atoms:
1 Ca 0.5000 0.5000 0.5000  12 H 3.39
2 H 0.0000 0.5000 0.0000  2 Rb 2.40
3 H 0.0000 0.0000 0.5000  2 Rb 2.40
4 H 0.5000 0.0000 0.0000  2 Rb 2.40
5 Rb 0.0000 0.0000 0.0000  6 H 2.40

## Properties
mass density	1.93	g/cm³

The structure with the most favorable energy is version 1; the runner-up is 164 meV per atom above it.